Record 1
The following is a meta-GGA SCAN calculation of K2Cd at its PBEsol-relaxed geometry, from the Alexandria database.

Results
Total moment = 0.0 μB/f.u.
Energy of formation from the pure elements = 0.019 eV per atom

Unit cell a=17.0603 b=17.0603 c=17.0603 alpha=166.23 beta=166.23 gamma=19.53
With the nearest neighbours (Å) after each atom.
Atoms (fractional coordinates):
K (0.3095, 0.5595, 0.7500)  4 Cd 3.64
K (0.4405, 0.6905, 0.7500)  4 Cd 3.64
K (0.5595, 0.3095, 0.2500)  4 Cd 3.64
K (0.6905, 0.4405, 0.2500)  4 Cd 3.64
Cd (0.1250, 0.8750, 0.2500)  8 K 3.64
Cd (0.8750, 0.1250, 0.7500)  8 K 3.64



Record 2
The following is a meta-GGA SCAN calculation of K5Cd3 at its PBEsol-relaxed geometry, from the Alexandria database.

Results
Total moment = 0.0 μB/f.u.
Energy of formation from the pure elements = -0.007 eV per atom

Unit cell a=10.4965 b=10.4965 c=7.0848 alpha=90.00 beta=90.00 gamma=120.00
With the nearest neighbours (Å) after each atom.
Atoms (fractional coordinates):
K (0.0000, 0.2531, 0.2500)  5 Cd 3.57-3.89
K (0.0000, 0.7469, 0.7500)  5 Cd 3.57-3.89
K (0.2531, 0.0000, 0.2500)  5 Cd 3.57-3.89
K (0.2531, 0.2531, 0.7500)  5 Cd 3.57-3.89
K (0.3333, 0.6667, 0.0000)  2 K 3.54, 6 Cd 3.64
K (0.3333, 0.6667, 0.5000)  2 K 3.54, 6 Cd 3.64
K (0.6667, 0.3333, 0.0000)  2 K 3.54, 6 Cd 3.64
K (0.6667, 0.3333, 0.5000)  2 K 3.54, 6 Cd 3.64
K (0.7469, 0.0000, 0.7500)  5 Cd 3.57-3.89
K (0.7469, 0.7469, 0.2500)  5 Cd 3.57-3.89
Cd (0.0000, 0.4066, 0.7500)  9 K 3.57-3.89
Cd (0.0000, 0.5934, 0.2500)  9 K 3.57-3.89
Cd (0.4066, 0.0000, 0.7500)  9 K 3.57-3.89
Cd (0.4066, 0.4066, 0.2500)  9 K 3.57-3.89
Cd (0.5934, 0.0000, 0.2500)  9 K 3.57-3.89
Cd (0.5934, 0.5934, 0.7500)  9 K 3.57-3.89



Record 3
The following is a meta-GGA SCAN calculation of K5Cd at its PBEsol-relaxed geometry, from the Alexandria database.

Results
Total moment = 0.0 μB/f.u.
Energy of formation from the pure elements = 0.051 eV per atom

Unit cell a=7.5107 b=7.5107 c=6.7009 alpha=90.00 beta=90.00 gamma=120.00
With the nearest neighbours (Å) after each atom.
Atoms (fractional coordinates):
K (0.0000, 0.3024, 0.0000)  6 K 3.93-4.26, 2 Cd 4.05
K (0.3024, 0.0000, 0.0000)  6 K 3.93-4.26, 2 Cd 4.05
K (0.3333, 0.6667, 0.5000)  9 K 4.26-4.34, 3 Cd 4.34
K (0.6667, 0.3333, 0.5000)  9 K 4.26-4.34, 3 Cd 4.34
K (0.6976, 0.6976, 0.0000)  6 K 3.93-4.26, 2 Cd 4.05
Cd (0.0000, 0.0000, 0.5000)  12 K 4.05-4.34



Record 4
The following is a meta-GGA SCAN calculation of K2Cd at its PBEsol-relaxed geometry, from the Alexandria database.

Results
Total moment = 0.0 μB/f.u.
Energy of formation from the pure elements = 0.025 eV per atom

Unit cell a=5.9429 b=5.9429 c=5.9429 alpha=60.00 beta=60.00 gamma=60.00
With the nearest neighbours (Å) after each atom.
Atoms (fractional coordinates):
K (0.2500, 0.2500, 0.2500)  4 Cd 3.64
K (0.7500, 0.7500, 0.7500)  4 Cd 3.64
Cd (0.0000, 0.0000, 0.0000)  8 K 3.64



Record 5
The following is a meta-GGA SCAN calculation of K3Cd at its PBEsol-relaxed geometry, from the Alexandria database.

Results
Total moment = 0.0 μB/f.u.
Energy of formation from the pure elements = 0.035 eV per atom

Unit cell a=6.7219 b=6.7219 c=6.7219 alpha=127.08 beta=127.08 gamma=78.12
With the nearest neighbours (Å) after each atom.
Atoms (fractional coordinates):
K (0.0000, 0.0000, 0.0000)  8 K 3.97, 4 Cd 4.24
K (0.2500, 0.7500, 0.5000)  4 Cd 3.97, 8 K 3.97-4.24
K (0.7500, 0.2500, 0.5000)  4 Cd 3.97, 8 K 3.97-4.24
Cd (0.5000, 0.5000, 0.0000)  12 K 3.97-4.24



Record 6
The following is a meta-GGA SCAN calculation of K5Cd at its PBEsol-relaxed geometry, from the Alexandria database.

Results
Total moment = 0.0 μB/f.u.
Energy of formation from the pure elements = 0.009 eV per atom

Unit cell a=7.9268 b=7.9268 c=10.8273 alpha=111.61 beta=111.61 gamma=33.09
With the nearest neighbours (Å) after each atom.
Atoms (fractional coordinates):
K (0.0000, 0.0000, 0.0000)  2 Cd 3.62
K (0.0338, 0.0338, 0.4092)  2 Cd 3.86, 2 K 4.15-4.26
K (0.3690, 0.3690, 0.6287)  12 K 4.37-4.72
K (0.7034, 0.7034, 0.8463)  2 Cd 3.84, 2 K 4.16-4.27
K (0.7381, 0.7381, 0.2570)  2 Cd 3.62
Cd (0.3679, 0.3679, 0.1270)  8 K 3.62-3.86



Record 7
The following is a meta-GGA SCAN calculation of K3Cd at its PBEsol-relaxed geometry, from the Alexandria database.

Results
Total moment = 0.1 μB/f.u.
Energy of formation from the pure elements = 0.065 eV per atom

Unit cell a=4.4510 b=4.4510 c=12.5492 alpha=90.00 beta=90.00 gamma=120.00
With the nearest neighbours (Å) after each atom.
Atoms (fractional coordinates):
K (0.0000, 0.0000, 0.0000)  12 K 4.45-4.61
K (0.3333, 0.6667, 0.3045)  3 Cd 3.55
K (0.3333, 0.6667, 0.6955)  3 Cd 3.55
Cd (0.0000, 0.0000, 0.5000)  6 K 3.55



Record 8
The following is a meta-GGA SCAN calculation of KCd at its PBEsol-relaxed geometry, from the Alexandria database.

Results
Total moment = 0.0 μB/f.u.
Energy of formation from the pure elements = 0.024 eV per atom

Unit cell a=3.7882 b=3.7882 c=4.9309 alpha=90.00 beta=90.00 gamma=90.00
With the nearest neighbours (Å) after each atom.
Atoms (fractional coordinates):
K (0.0000, 0.0000, 0.0000)  8 Cd 3.64, 4 K 3.79
Cd (0.5000, 0.5000, 0.5000)  8 K 3.64, 4 Cd 3.79



Record 9
The following is a meta-GGA SCAN calculation of K5Cd at its PBEsol-relaxed geometry, from the Alexandria database.

Results
Total moment = 0.0 μB/f.u.
Energy of formation from the pure elements = 0.031 eV per atom

Unit cell a=9.2648 b=9.2648 c=6.1007 alpha=90.00 beta=90.00 gamma=141.43
With the nearest neighbours (Å) after each atom.
Atoms (fractional coordinates):
K (0.0000, 0.0000, 0.0000)  8 K 4.01-4.03, 4 Cd 4.32
K (0.1492, 0.8508, 0.5000)  6 K 4.01-4.32, 2 Cd 4.02
K (0.3497, 0.6503, 0.0000)  2 Cd 4.03, 6 K 4.03-4.32
K (0.6503, 0.3497, 0.0000)  2 Cd 4.03, 6 K 4.03-4.32
K (0.8508, 0.1492, 0.5000)  6 K 4.01-4.32, 2 Cd 4.02
Cd (0.5000, 0.5000, 0.5000)  12 K 4.02-4.32



Record 10
The following is a meta-GGA SCAN calculation of K3Cd16 at its PBEsol-relaxed geometry, from the Alexandria database.

Results
Total moment = 0.0 μB/f.u.
Energy of formation from the pure elements = -0.135 eV per atom

Unit cell a=8.9777 b=8.9777 c=11.5438 alpha=90.00 beta=90.00 gamma=90.00
With the nearest neighbours (Å) after each atom.
Atoms (fractional coordinates):
K (0.2500, 0.2500, 0.0840)  12 Cd 3.54-3.73, 2 K 3.83-3.86
K (0.2500, 0.2500, 0.4160)  12 Cd 3.54-3.73, 2 K 3.83-3.86
K (0.2500, 0.2500, 0.7500)  16 Cd 3.55-3.97, 2 K 3.86
K (0.7500, 0.7500, 0.2500)  16 Cd 3.55-3.97, 2 K 3.86
K (0.7500, 0.7500, 0.5840)  12 Cd 3.54-3.73, 2 K 3.83-3.86
K (0.7500, 0.7500, 0.9160)  12 Cd 3.54-3.73, 2 K 3.83-3.86
Cd (0.0940, 0.6112, 0.0625)  8 Cd 2.89-3.06
Cd (0.0940, 0.8888, 0.4375)  8 Cd 2.89-3.06
Cd (0.0994, 0.6063, 0.8124)  8 Cd 2.89-3.06
Cd (0.0994, 0.8937, 0.6876)  8 Cd 2.89-3.06
Cd (0.1063, 0.5994, 0.3124)  8 Cd 2.89-3.06
Cd (0.1063, 0.9006, 0.1876)  8 Cd 2.89-3.06
Cd (0.1112, 0.5940, 0.5625)  8 Cd 2.89-3.06
Cd (0.1112, 0.9060, 0.9375)  8 Cd 2.89-3.06
Cd (0.3888, 0.5940, 0.9375)  8 Cd 2.89-3.06
Cd (0.3888, 0.9060, 0.5625)  8 Cd 2.89-3.06
Cd (0.3937, 0.5994, 0.1876)  8 Cd 2.89-3.06
Cd (0.3937, 0.9006, 0.3124)  8 Cd 2.89-3.06
Cd (0.4006, 0.6063, 0.6876)  8 Cd 2.89-3.06
Cd (0.4006, 0.8937, 0.8124)  8 Cd 2.89-3.06
Cd (0.4060, 0.6112, 0.4375)  8 Cd 2.89-3.06
Cd (0.4060, 0.8888, 0.0625)  8 Cd 2.89-3.06
Cd (0.5940, 0.1112, 0.9375)  8 Cd 2.89-3.06
Cd (0.5940, 0.3888, 0.5625)  8 Cd 2.89-3.06
Cd (0.5994, 0.1063, 0.1876)  8 Cd 2.89-3.06
Cd (0.5994, 0.3937, 0.3124)  8 Cd 2.89-3.06
Cd (0.6063, 0.0994, 0.6876)  8 Cd 2.89-3.06
Cd (0.6063, 0.4006, 0.8124)  8 Cd 2.89-3.06
Cd (0.6112, 0.0940, 0.4375)  8 Cd 2.89-3.06
Cd (0.6112, 0.4060, 0.0625)  8 Cd 2.89-3.06
Cd (0.8888, 0.0940, 0.0625)  8 Cd 2.89-3.06
Cd (0.8888, 0.4060, 0.4375)  8 Cd 2.89-3.06
Cd (0.8937, 0.0994, 0.8124)  8 Cd 2.89-3.06
Cd (0.8937, 0.4006, 0.6876)  8 Cd 2.89-3.06
Cd (0.9006, 0.1063, 0.3124)  8 Cd 2.89-3.06
Cd (0.9006, 0.3937, 0.1876)  8 Cd 2.89-3.06
Cd (0.9060, 0.1112, 0.5625)  8 Cd 2.89-3.06
Cd (0.9060, 0.3888, 0.9375)  8 Cd 2.89-3.06



Record 11
The following is a meta-GGA SCAN calculation of K2Cd at its PBEsol-relaxed geometry, from the Alexandria database.

Results
Total moment = 0.0 μB/f.u.
Energy of formation from the pure elements = -0.007 eV per atom

Unit cell a=8.2066 b=5.7918 c=11.2118 alpha=90.00 beta=90.00 gamma=90.00
With the nearest neighbours (Å) after each atom.
Atoms (fractional coordinates):
K (0.0397, 0.2500, 0.1915)  5 Cd 3.72-4.06, 2 K 4.03
K (0.1683, 0.2500, 0.5631)  4 Cd 3.59-3.67
K (0.3317, 0.7500, 0.0631)  4 Cd 3.59-3.67
K (0.4603, 0.7500, 0.6915)  5 Cd 3.72-4.06, 2 K 4.03
K (0.5397, 0.2500, 0.3085)  5 Cd 3.72-4.06, 2 K 4.03
K (0.6683, 0.2500, 0.9369)  4 Cd 3.59-3.67
K (0.8317, 0.7500, 0.4369)  4 Cd 3.59-3.67
K (0.9603, 0.7500, 0.8085)  5 Cd 3.72-4.06, 2 K 4.03
Cd (0.2278, 0.2500, 0.8801)  7 K 3.59-3.82
Cd (0.2722, 0.7500, 0.3801)  7 K 3.59-3.82
Cd (0.7278, 0.2500, 0.6199)  7 K 3.59-3.82
Cd (0.7722, 0.7500, 0.1199)  7 K 3.59-3.82



Record 12
The following is a meta-GGA SCAN calculation of KCd at its PBEsol-relaxed geometry, from the Alexandria database.

Results
Total moment = 0.0 μB/f.u.
Energy of formation from the pure elements = -0.043 eV per atom

Unit cell a=6.7382 b=6.7382 c=7.8915 alpha=106.92 beta=106.92 gamma=39.16
With the nearest neighbours (Å) after each atom.
Atoms (fractional coordinates):
K (0.0000, 0.0000, 0.0000)  3 K 3.53-3.88, 8 Cd 3.54-3.84
K (0.0263, 0.0263, 0.4588)  2 K 3.52-3.53, 3 Cd 3.74-3.87
K (0.3175, 0.3175, 0.6233)  3 K 3.52-3.88, 5 Cd 3.56-3.84
Cd (0.2915, 0.2915, 0.0947)  4 Cd 2.90-2.99
Cd (0.6818, 0.6818, 0.8559)  3 Cd 2.99-3.07
Cd (0.7182, 0.7182, 0.2592)  3 Cd 2.90-3.07



Record 13
The following is a meta-GGA SCAN calculation of K2Cd at its PBEsol-relaxed geometry, from the Alexandria database.

Results
Total moment = 0.0 μB/f.u.
Energy of formation from the pure elements = 0.030 eV per atom

Unit cell a=9.2068 b=9.2068 c=6.0573 alpha=90.00 beta=90.00 gamma=149.42
With the nearest neighbours (Å) after each atom.
Atoms (fractional coordinates):
K (0.0634, 0.9366, 0.7500)  6 Cd 3.75-3.93, 4 K 3.77-4.12
K (0.2491, 0.7509, 0.2500)  2 Cd 3.62, 4 K 3.88
K (0.7509, 0.2491, 0.7500)  2 Cd 3.62, 4 K 3.88
K (0.9366, 0.0634, 0.2500)  6 Cd 3.75-3.93, 4 K 3.77-4.12
Cd (0.4022, 0.5978, 0.7500)  8 K 3.62-3.93
Cd (0.5978, 0.4022, 0.2500)  8 K 3.62-3.93